No. 1
Density functional theory data (PBE) for a relaxed structure of TePtSeI2.

Unit cell a=5.4188 b=5.4188 c=5.3263 alpha=90.00 beta=90.00 gamma=90.00
Last column: nearest neighbours and their distance in Å.
Space group P4/mmm (No. 123)
Inequivalent atoms, fractional coordinates:
Te (0.0000, 0.0000, 0.0000) (multiplicity 1)  2 Pt 2.66
Pt (0.0000, 0.0000, 0.5000) (multiplicity 1)  2 Te 2.66, 4 I 2.71
Se (0.5000, 0.5000, 0.0000) (multiplicity 1)  8 I 3.80, 4 Te 3.83
I (0.0000, 0.5000, 0.5000) (multiplicity 2)  2 Pt 2.71

Computed properties:
Total moment, μB per cell: 0.0
D(E_F), states/eV/f.u.: 5.59
Energy above the lowest structure with this stoichiometry, eV per formula unit: 0.00
Crystal system: tetragonal


No. 2
Density functional theory data (PBE) for a relaxed structure of Te2PtSeI.

Unit cell a=5.3243 b=5.3243 c=5.3752 alpha=90.00 beta=90.00 gamma=90.00
Last column: nearest neighbours and their distance in Å.
Space group P4/mmm (No. 123)
Inequivalent atoms, fractional coordinates:
Te (0.0000, 0.5000, 0.0000) (multiplicity 2)  2 Pt 2.66
Pt (0.0000, 0.0000, 0.0000) (multiplicity 1)  4 Te 2.66, 2 I 2.69
Se (0.5000, 0.5000, 0.5000) (multiplicity 1)  4 I 3.76, 8 Te 3.78
I (0.0000, 0.0000, 0.5000) (multiplicity 1)  2 Pt 2.69

Computed properties:
Total moment, μB per cell: 0.0
D(E_F), states/eV/f.u.: 6.60
Energy above the lowest structure with this stoichiometry, eV per formula unit: 0.00
Crystal system: tetragonal


No. 3
Density functional theory data (PBE) for a relaxed structure of TePtSeI2.

Unit cell a=5.4608 b=5.4608 c=5.7114 alpha=90.00 beta=90.00 gamma=90.00
Last column: nearest neighbours and their distance in Å.
Space group P4/mmm (No. 123)
Inequivalent atoms, fractional coordinates:
Te (0.0000, 0.0000, 0.0000) (multiplicity 1)  2 Se 2.86
Pt (0.5000, 0.5000, 0.0000) (multiplicity 1)  4 Te 3.86, 8 I 3.95
Se (0.0000, 0.0000, 0.5000) (multiplicity 1)  4 I 2.73, 2 Te 2.86
I (0.0000, 0.5000, 0.5000) (multiplicity 2)  2 Se 2.73

Computed properties:
Total moment, μB per cell: 1.0
D(E_F), states/eV/f.u.: 6.81
Energy above the lowest structure with this stoichiometry, eV per formula unit: 2.87
Crystal system: tetragonal


No. 4
Density functional theory data (PBE) for a relaxed structure of Te2PtSeI.

Unit cell a=5.4978 b=5.4978 c=5.3258 alpha=90.00 beta=90.00 gamma=90.00
Last column: nearest neighbours and their distance in Å.
Space group P4/mmm (No. 123)
Inequivalent atoms, fractional coordinates:
Te (0.0000, 0.5000, 0.0000) (multiplicity 2)  2 Se 2.75
Pt (0.0000, 0.0000, 0.5000) (multiplicity 1)  8 Te 3.83, 4 I 3.89
Se (0.5000, 0.5000, 0.0000) (multiplicity 1)  2 I 2.66, 4 Te 2.75
I (0.5000, 0.5000, 0.5000) (multiplicity 1)  2 Se 2.66

Computed properties:
Total moment, μB per cell: 0.7
D(E_F), states/eV/f.u.: 7.80
Energy above the lowest structure with this stoichiometry, eV per formula unit: 2.87
Crystal system: tetragonal


No. 5
Density functional theory data (PBE) for a relaxed structure of SiPt2I.

Unit cell a=6.4447 b=6.4447 c=8.9140 alpha=90.00 beta=90.00 gamma=90.00
Last column: nearest neighbours and their distance in Å.
Space group I-42d (No. 122)
Inequivalent atoms, fractional coordinates:
Si (0.0000, 0.0000, 0.0000) (multiplicity 4)  4 Pt 2.32
Pt (0.1942, 0.7500, 0.1250) (multiplicity 8)  2 Si 2.32
I (0.0000, 0.0000, 0.5000) (multiplicity 4)  4 Pt 2.78

Computed properties:
Total moment, μB per cell: 0.0
D(E_F), states/eV/f.u.: 3.40
Energy above the lowest structure with this stoichiometry, eV per formula unit: 0.00
Crystal system: tetragonal


No. 6
Density functional theory data (PBE) for a relaxed structure of SiPt2I.

Unit cell a=6.6617 b=6.6617 c=6.6617 alpha=90.00 beta=90.00 gamma=90.00
Last column: nearest neighbours and their distance in Å.
Space group Fm-3m (No. 225)
Inequivalent atoms, fractional coordinates:
Si (0.0000, 0.0000, 0.0000) (multiplicity 4)  8 Pt 2.88
Pt (0.2500, 0.2500, 0.2500) (multiplicity 8)  4 I 2.88, 4 Si 2.88
I (0.0000, 0.0000, 0.5000) (multiplicity 4)  8 Pt 2.88

Computed properties:
Total moment, μB per cell: 0.0
D(E_F), states/eV/f.u.: 1.23
Energy above the lowest structure with this stoichiometry, eV per formula unit: 1.85
Crystal system: cubic


No. 7
Density functional theory data (PBE) for a relaxed structure of SiPt3I.

Unit cell a=4.6603 b=4.6603 c=4.6603 alpha=90.00 beta=90.00 gamma=90.00
Last column: nearest neighbours and their distance in Å.
Space group Pm-3m (No. 221)
Inequivalent atoms, fractional coordinates:
Si (0.0000, 0.0000, 0.0000) (multiplicity 1)  6 Pt 2.33
Pt (0.0000, 0.0000, 0.5000) (multiplicity 3)  2 Si 2.33
I (0.5000, 0.5000, 0.5000) (multiplicity 1)  12 Pt 3.30

Computed properties:
Total moment, μB per cell: 0.0
D(E_F), states/eV/f.u.: 2.57
Energy above the lowest structure with this stoichiometry, eV per formula unit: 0.00
Crystal system: cubic


No. 8
Density functional theory data (PBE) for a relaxed structure of SiPtI.

Unit cell a=19.8560 b=4.2224 c=7.8670 alpha=90.00 beta=99.68 gamma=90.00
Last column: nearest neighbours and their distance in Å.
Space group C2/m (No. 12)
Inequivalent atoms, fractional coordinates:
Si (0.2423, 0.0000, 0.1374) (multiplicity 4)  4 Pt 2.37-2.51
Si (0.2448, 0.0000, 0.6284) (multiplicity 4)  4 Pt 2.39-2.49
Pt (0.1783, 0.5000, 0.5782) (multiplicity 4)  4 Si 2.41-2.51
Pt (0.1881, 0.5000, 0.0891) (multiplicity 4)  4 Si 2.37-2.43
I (0.0827, 0.5000, 0.8226) (multiplicity 4)  2 Pt 2.70-2.92
I (0.0941, 0.0000, 0.3958) (multiplicity 4)  2 Pt 2.92, 1 Si 3.23

Computed properties:
Total moment, μB per cell: 0.0
D(E_F), states/eV/f.u.: 0.68
Crystal system: monoclinic


No. 9
Density functional theory data (PBE) for a relaxed structure of SiPt3I.

Unit cell a=4.9816 b=4.9816 c=4.9816 alpha=90.00 beta=90.00 gamma=90.00
Last column: nearest neighbours and their distance in Å.
Space group Pm-3m (No. 221)
Inequivalent atoms, fractional coordinates:
Si (0.0000, 0.0000, 0.0000) (multiplicity 1)  12 Pt 3.52
Pt (0.0000, 0.5000, 0.5000) (multiplicity 3)  2 I 2.49
I (0.5000, 0.5000, 0.5000) (multiplicity 1)  6 Pt 2.49

Computed properties:
Total moment, μB per cell: 0.0
D(E_F), states/eV/f.u.: 4.22
Energy above the lowest structure with this stoichiometry, eV per formula unit: 4.83
Crystal system: cubic


No. 10
Density functional theory data (PBE) for a relaxed structure of Sm8SiPt3I4.

Unit cell a=8.5309 b=8.5309 c=23.6341 alpha=90.00 beta=90.00 gamma=120.00
Last column: nearest neighbours and their distance in Å.
Space group R-3m (No. 166, hexagonal axes)
Inequivalent atoms, fractional coordinates:
Sm (0.0000, 0.0000, 0.2289) (multiplicity 6)  3 Pt 2.87
Sm (0.0062, 0.5031, 0.7705) (multiplicity 18)  2 Pt 2.86, 1 Si 2.91
Si (0.0000, 0.0000, 0.5000) (multiplicity 3)  6 Sm 2.91
Pt (0.0000, 0.5000, 0.5000) (multiplicity 9)  6 Sm 2.86-2.87
I (0.0000, 0.0000, 0.0000) (multiplicity 3)  6 Sm 3.44
I (0.0000, 0.5000, 0.0000) (multiplicity 9)  6 Sm 3.49

Computed properties:
Total moment, μB per cell: 0.0
D(E_F), states/eV/f.u.: 9.72
Crystal system: trigonal


No. 11
Density functional theory data (PBE) for a relaxed structure of SiTe2PtI.

Unit cell a=5.2451 b=5.2451 c=5.1977 alpha=90.00 beta=90.00 gamma=90.00
Last column: nearest neighbours and their distance in Å.
Space group P4/mmm (No. 123)
Inequivalent atoms, fractional coordinates:
Si (0.0000, 0.0000, 0.0000) (multiplicity 1)  2 I 2.60, 4 Te 2.62
Te (0.0000, 0.5000, 0.0000) (multiplicity 2)  2 Si 2.62
Pt (0.5000, 0.5000, 0.5000) (multiplicity 1)  8 Te 3.69, 4 I 3.71
I (0.0000, 0.0000, 0.5000) (multiplicity 1)  2 Si 2.60

Computed properties:
Total moment, μB per cell: 0.0
D(E_F), states/eV/f.u.: 7.53
Energy above the lowest structure with this stoichiometry, eV per formula unit: 1.62
Crystal system: tetragonal


No. 12
Density functional theory data (PBE) for a relaxed structure of SiTePt2I.

Unit cell a=4.4893 b=4.4893 c=6.6469 alpha=90.00 beta=90.00 gamma=90.00
Last column: nearest neighbours and their distance in Å.
Space group P4/mmm (No. 123)
Inequivalent atoms, fractional coordinates:
Si (0.0000, 0.0000, 0.0000) (multiplicity 1)  4 Pt 2.24
Te (0.0000, 0.0000, 0.5000) (multiplicity 1)  4 I 3.17, 2 Si 3.32
Pt (0.0000, 0.5000, 0.0000) (multiplicity 2)  2 Si 2.24
I (0.5000, 0.5000, 0.5000) (multiplicity 1)  4 Te 3.17

Computed properties:
Total moment, μB per cell: 0.0
D(E_F), states/eV/f.u.: 2.82
Crystal system: tetragonal


Calculated values (g/cm3) of ρ for the records, taken in order: 7.0, 7.2, 6.4, 6.8, 9.8, 12.2, 12.1, 7.2, 9.9, 7.8, 7.0, 8.3.
Calculated values (eV per atom) of E for the records, taken in order: -2.67, -2.98, -2.10, -2.40, -4.77, -4.31, -4.64, -4.69, -3.67, -5.25, -2.91, -3.99.
Calculated values (eV/atom) of E_form (uncorrected) for the records, taken in order: 0.48, 0.50, 1.05, 1.07, -0.01, 0.46, 0.38, -0.35, 1.35, -1.03, 0.95, 0.45.